A plane-wave DFT calculation with GGA-PBEsol was carried out for a relaxed structure of CdGaC2.

Calculated volume ... 12.138 Å³ per atom
Energy of formation from the pure elements ... 2069 meV per atom
Mass density ... 7.05 g cm⁻³
Fermi-level density of states ... 2.0 states/eV/f.u.
Space group ... Fm-3m (225)

extended XYZ file:
```
4
Lattice="0.000 2.896 2.896 2.896 0.000 2.896 2.896 2.896 0.000" Properties=species:S:1:pos:R:3 pbc="T T T"
Cd 0.000 0.000 0.000
Ga 2.896 2.896 2.896
C 1.448 1.448 1.448
C 4.343 4.343 4.343
```